Here is a geometry-optimized Hf4CoCu3 structure from Alexandria via LeMat-Bulk. Energies are from PBE-GGA.

abc: 3.2395 4.1692 9.9895
angles: 90.00 90.00 90.00
Atoms (fractional coordinates):
1 Co 0.5000 0.5000 0.0833
2 Hf 0.5000 0.5000 0.3422
3 Hf 0.0000 0.5000 0.8637
4 Hf 0.0000 0.0000 0.1410
5 Hf 0.5000 0.0000 0.6498
6 Cu 0.0000 0.5000 0.5760
7 Cu 0.0000 0.0000 0.4221
8 Cu 0.5000 0.0000 0.9220

Calculated values
Uncorrected energy: -7.61 eV/atom
ΔH_f (0 K): -1.64 eV per formula unit
Crystal system: orthorhombic